This record from the Open Quantum Materials Database describes an optimized crystal structure of NbInCoCu. The functional is GGA-PBE. Values from VASP.

Summary:
energy above the lowest structure with this stoichiometry	327	meV per atom

Geometry as Quantum ESPRESSO input:
```
&SYSTEM
  ibrav = 0, nat = 4, ntyp = 4
/
ATOMIC_SPECIES
Nb 92.91 Nb.upf
In 114.82 In.upf
Co 58.93 Co.upf
Cu 63.55 Cu.upf
CELL_PARAMETERS angstrom
0.000 3.133 3.133
3.133 0.000 3.133
3.133 3.133 0.000
ATOMIC_POSITIONS crystal
Nb 0.000 0.000 0.000
In 0.250 0.250 0.250
Co 0.500 0.500 0.500
Cu 0.750 0.750 0.750
```

This record from the Open Quantum Materials Database describes an optimized crystal structure of PaZn2. The functional is GGA-PBE. Values from VASP.

Summary:
energy of formation	34	meV per atom

Geometry as Quantum ESPRESSO input:
```
&SYSTEM
  ibrav = 0, nat = 12, ntyp = 2
/
ATOMIC_SPECIES
Pa 231.04 Pa.upf
Zn 65.41 Zn.upf
CELL_PARAMETERS angstrom
4.818 0.000 0.000
0.000 4.025 0.000
-0.025 0.000 12.041
ATOMIC_POSITIONS crystal
Pa 0.000 0.000 0.000
Pa 0.001 0.000 0.340
Pa 0.018 0.500 0.841
Pa 0.019 0.500 0.500
Zn 0.178 0.000 0.671
Zn 0.489 0.000 0.170
Zn 0.497 0.500 0.341
Zn 0.500 0.500 0.001
Zn 0.518 0.000 0.500
Zn 0.521 0.000 0.841
Zn 0.530 0.500 0.670
Zn 0.840 0.500 0.171
```

This record from the Open Quantum Materials Database describes an optimized crystal structure of NbNiBi2. The functional is GGA-PBE. Values from VASP.

Summary:
E	-5.245	eV per atom

Geometry as Quantum ESPRESSO input:
```
&SYSTEM
  ibrav = 0, nat = 4, ntyp = 3
/
ATOMIC_SPECIES
Nb 92.91 Nb.upf
Ni 58.69 Ni.upf
Bi 208.98 Bi.upf
CELL_PARAMETERS angstrom
0.000 3.544 3.544
3.544 0.000 3.544
3.544 3.544 0.000
ATOMIC_POSITIONS crystal
Nb 0.000 0.000 0.000
Ni 0.750 0.750 0.750
Bi 0.250 0.250 0.250
Bi 0.500 0.500 0.500
```